Density functional theory data (PBE with a Hubbard U) for TaFePd2F after structural relaxation.

The calculation puts the calculated density at 9.534 g/cm3. As for the energy: -5.58 eV per atom.

It has space group P4/mmm (No. 123), with a = 4.529 Å, b = 4.529 Å, c = 3.979 Å, α = 90.00°, β = 90.00° and γ = 90.00°. The distinct sites, in fractional coordinates, are Ta at (0.000, 0.000, 0.000), Fe at (0.500, 0.500, 0.000), Pd at (0.000, 0.500, 0.500) and F at (0.000, 0.000, 0.500).